--- P ---
Entry from the Alexandria database: a relaxed SrAcN crystal (GGA-PBE).

Properties
Magnetic moment (Bohr magnetons per cell): 0.00

Unit cell a=6.6053 b=6.6053 c=6.6053 alpha=90.00 beta=90.00 gamma=90.00
Space group F-43m (No. 216)
Inequivalent atoms, fractional coordinates:
Sr  0.0000  0.0000  0.0000 [4 per cell]
Ac  0.0000  0.0000  0.5000 [4 per cell]
N  0.2500  0.2500  0.7500 [4 per cell]



--- Q ---
Entry from the Alexandria database: a relaxed SrAcN crystal (GGA-PBE).

Properties
Magnetic moment (Bohr magnetons per cell): 0.00

Unit cell a=5.7004 b=5.7004 c=8.2976 alpha=90.00 beta=90.00 gamma=90.00
Space group I4mm (No. 107)
Inequivalent atoms, fractional coordinates:
Sr  0.0000  0.0000  0.0000 [2 per cell]
Ac  0.0000  0.0000  0.4771 [2 per cell]
N  0.0000  0.0000  0.7297 [2 per cell]



Stability ranking, top and bottom: P is the most stable and Q is the least stable.



--- P ---
Entry from the Alexandria database: a relaxed SrAcN crystal (GGA-PBE).

Properties
Magnetic moment (Bohr magnetons per cell): 0.08

Unit cell a=3.9298 b=3.9298 c=6.8147 alpha=90.00 beta=90.00 gamma=120.00
Space group P3m1 (No. 156)
Inequivalent atoms, fractional coordinates:
Sr  0.0000  0.0000  0.0000 [1 per cell]
Ac  0.6667  0.3333  0.4367 [1 per cell]
N  0.3333  0.6667  0.2721 [1 per cell]



--- Q ---
Entry from the Alexandria database: a relaxed SrAcN crystal (GGA-PBE).

Properties
Magnetic moment (Bohr magnetons per cell): 0.00

Unit cell a=7.6920 b=6.9571 c=7.3571 alpha=90.00 beta=119.33 gamma=90.00
Space group C2/m (No. 12)
Inequivalent atoms, fractional coordinates:
Sr  0.0000  0.2202  0.0000 [4 per cell]
Ac  0.0000  0.2533  0.5000 [4 per cell]
N  0.1513  0.0000  0.3746 [4 per cell]



--- R ---
Entry from the Alexandria database: a relaxed SrAcN crystal (GGA-PBE).

Properties
Magnetic moment (Bohr magnetons per cell): 0.00

Unit cell a=5.6437 b=5.6436 c=11.2084 alpha=90.00 beta=90.00 gamma=90.00
Space group C2/m (No. 12)
Inequivalent atoms, fractional coordinates:
Sr  0.2498  0.0000  0.1429 [4 per cell]
Ac  0.2502  0.0000  0.6126 [4 per cell]
N  0.2492  0.5000  0.6125 [4 per cell]



Stability ranking, top and bottom: R is the most stable and Q is the least stable.



--- P ---
Entry from the Alexandria database: a relaxed Sr2AcN crystal (GGA-PBE).

Properties
Magnetic moment (Bohr magnetons per cell): 0.00

Unit cell a=4.1784 b=4.1789 c=10.6993 alpha=90.06 beta=101.23 gamma=119.80
Space group P1 (No. 1)
Inequivalent atoms, fractional coordinates:
Sr  0.0000  0.0000  0.0000 [1 per cell]
Sr  0.4390  0.2208  0.6570 [1 per cell]
Ac  0.5733  0.7859  0.3566 [1 per cell]
N  0.2824  0.1411  0.4209 [1 per cell]



--- Q ---
Entry from the Alexandria database: a relaxed Sr2AcN crystal (GGA-PBE).

Properties
Magnetic moment (Bohr magnetons per cell): 0.48

Unit cell a=3.8239 b=3.8239 c=32.5070 alpha=90.00 beta=90.00 gamma=120.00
Space group R-3m (No. 166, hexagonal axes)
Inequivalent atoms, fractional coordinates:
Sr  0.0000  0.0000  0.1241 [6 per cell]
Ac  0.0000  0.0000  0.0000 [3 per cell]
N  0.0000  0.0000  0.5000 [3 per cell]



Stability ranking, top and bottom: P is the most stable and Q is the least stable.



--- P ---
Entry from the Alexandria database: a relaxed Ac3Ta2N7 crystal (GGA-PBE).

Properties
Magnetic moment (Bohr magnetons per cell): 0.01

Unit cell a=4.1535 b=4.1535 c=21.3957 alpha=90.00 beta=90.00 gamma=90.00
Space group I4/mmm (No. 139)
Inequivalent atoms, fractional coordinates:
Ac  0.0000  0.0000  0.0000 [2 per cell]
Ac  0.0000  0.0000  0.1833 [4 per cell]
Ta  0.0000  0.0000  0.4019 [4 per cell]
N  0.0000  0.0000  0.3042 [4 per cell]
N  0.0000  0.0000  0.5000 [2 per cell]
N  0.0000  0.5000  0.0956 [8 per cell]



--- Q ---
Entry from the Alexandria database: a relaxed Ac3Ta2N7 crystal (GGA-PBE).

Properties
Magnetic moment (Bohr magnetons per cell): 0.99

Unit cell a=4.1694 b=22.0240 c=4.0854 alpha=90.00 beta=90.00 gamma=90.00
Space group Cmmm (No. 65)
Inequivalent atoms, fractional coordinates:
Ac  0.0000  0.0000  0.0000 [2 per cell]
Ac  0.0000  0.1764  0.0000 [4 per cell]
Ta  0.0000  0.4038  0.5000 [4 per cell]
N  0.0000  0.0937  0.5000 [4 per cell]
N  0.0000  0.3102  0.5000 [4 per cell]
N  0.0000  0.4049  0.0000 [4 per cell]
N  0.0000  0.5000  0.5000 [2 per cell]



Stability ranking, top and bottom: P is the most stable and Q is the least stable.



--- P ---
Entry from the Alexandria database: a relaxed Ac2Ta3N8 crystal (GGA-PBE).

Properties
Magnetic moment (Bohr magnetons per cell): 0.76

Unit cell a=12.2092 b=6.5100 c=5.4302 alpha=90.00 beta=111.47 gamma=90.00
Space group C2/m (No. 12)
Inequivalent atoms, fractional coordinates:
Ac  0.2198  0.0000  0.1682 [4 per cell]
Ta  0.0000  0.2317  0.5000 [4 per cell]
Ta  0.0000  0.5000  0.0000 [2 per cell]
N  0.0960  0.5000  0.4077 [4 per cell]
N  0.1040  0.2906  0.8926 [8 per cell]
N  0.1047  0.0000  0.4736 [4 per cell]



--- Q ---
Entry from the Alexandria database: a relaxed Ac2Ta3N8 crystal (GGA-PBE).

Properties
Magnetic moment (Bohr magnetons per cell): 1.73

Unit cell a=4.0883 b=4.0883 c=13.3554 alpha=90.00 beta=90.00 gamma=90.00
Space group P4/mmm (No. 123)
Inequivalent atoms, fractional coordinates:
Ac  0.0000  0.0000  0.1554 [2 per cell]
Ta  0.5000  0.5000  0.0000 [1 per cell]
Ta  0.5000  0.5000  0.3040 [2 per cell]
N  0.0000  0.5000  0.0000 [2 per cell]
N  0.0000  0.5000  0.3203 [4 per cell]
N  0.5000  0.5000  0.1580 [2 per cell]



Stability ranking, top and bottom: P is the most stable and Q is the least stable.



--- P ---
Entry from the Alexandria database: a relaxed AcTbN2 crystal (GGA-PBE).

Properties
Magnetic moment (Bohr magnetons per cell): 0.00

Unit cell a=3.6198 b=3.6198 c=19.0961 alpha=90.00 beta=90.00 gamma=120.00
Space group R3m (No. 160, hexagonal axes)
Inequivalent atoms, fractional coordinates:
Ac  0.0000  0.0000  0.0000 [3 per cell]
Tb  0.0000  0.0000  0.1699 [3 per cell]
N  0.0000  0.0000  0.4362 [3 per cell]
N  0.0000  0.0000  0.5910 [3 per cell]



--- Q ---
Entry from the Alexandria database: a relaxed AcTbN2 crystal (GGA-PBE).

Properties
Magnetic moment (Bohr magnetons per cell): 0.00

Unit cell a=3.6078 b=3.6078 c=6.3947 alpha=90.00 beta=90.00 gamma=120.00
Space group P-3m1 (No. 164)
Inequivalent atoms, fractional coordinates:
Ac  0.0000  0.0000  0.0000 [1 per cell]
Tb  0.0000  0.0000  0.5000 [1 per cell]
N  0.3333  0.6667  0.7295 [2 per cell]



Stability ranking, top and bottom: P is the most stable and Q is the least stable.



--- P ---
Entry from the Alexandria database: a relaxed AcTcN2 crystal (GGA-PBE).

Properties
Magnetic moment (Bohr magnetons per cell): 0.00

Unit cell a=4.0186 b=4.0186 c=3.8055 alpha=90.00 beta=90.00 gamma=90.00
Space group P4/mmm (No. 123)
Inequivalent atoms, fractional coordinates:
Ac  0.0000  0.0000  0.0000 [1 per cell]
Tc  0.5000  0.5000  0.5000 [1 per cell]
N  0.0000  0.5000  0.5000 [2 per cell]



--- Q ---
Entry from the Alexandria database: a relaxed AcTcN2 crystal (GGA-PBE).

Properties
Magnetic moment (Bohr magnetons per cell): 0.01

Unit cell a=2.9859 b=2.9859 c=5.9677 alpha=90.00 beta=90.00 gamma=90.00
Space group P4/mmm (No. 123)
Inequivalent atoms, fractional coordinates:
Ac  0.0000  0.0000  0.0000 [1 per cell]
Tc  0.0000  0.0000  0.5000 [1 per cell]
N  0.5000  0.5000  0.2934 [2 per cell]



Stability ranking, top and bottom: P is the most stable and Q is the least stable.



--- P ---
Entry from the Alexandria database: a relaxed AcTcN2 crystal (GGA-PBE).

Properties
Magnetic moment (Bohr magnetons per cell): 3.59

Unit cell a=3.4192 b=3.4192 c=19.3693 alpha=90.00 beta=90.00 gamma=120.00
Space group R-3m (No. 166, hexagonal axes)
Inequivalent atoms, fractional coordinates:
Ac  0.0000  0.0000  0.0000 [3 per cell]
Tc  0.0000  0.0000  0.5000 [3 per cell]
N  0.0000  0.0000  0.1245 [6 per cell]



--- Q ---
Entry from the Alexandria database: a relaxed AcTcN2 crystal (GGA-PBE).

Properties
Magnetic moment (Bohr magnetons per cell): 0.00

Unit cell a=3.4517 b=3.8982 c=5.1114 alpha=90.00 beta=109.68 gamma=90.00
Space group Pm (No. 6)
Inequivalent atoms, fractional coordinates:
Ac  0.0000  0.0000  0.0000 [1 per cell]
Tc  0.2577  0.5000  0.5097 [1 per cell]
N  0.2872  0.0000  0.5733 [1 per cell]
N  0.6489  0.5000  0.2954 [1 per cell]



Stability ranking, top and bottom: Q is the most stable and P is the least stable.